Entry A
VASP calculation (PBE-GGA) on an optimized crystal structure of CsTc3Hg.

The structure in POSCAR format:
```
CsTc3Hg
1.0
-2.159 -4.553 -1.631
2.844 0.249 -4.461
3.912 -2.694 2.343
Tc Hg Cs
3 1 1
Direct
0.500 0.000 0.000 Tc
0.000 0.500 0.000 Tc
0.000 0.000 0.500 Tc
0.000 0.000 0.000 Hg
0.500 0.500 0.500 Cs
```

Calculated values
* symmetry: Pm-3m



Entry B
VASP calculation (PBE-GGA) on an optimized crystal structure of CsTc3Hg.

The structure in POSCAR format:
```
CsTc3Hg
1.0
-4.577 0.488 -1.787
0.163 -4.639 -1.683
-1.845 -1.619 4.284
Tc Hg Cs
3 1 1
Direct
0.000 0.500 0.000 Tc
0.500 0.000 0.000 Tc
0.000 0.000 0.500 Tc
0.500 0.500 0.500 Hg
0.000 0.000 0.000 Cs
```

Calculated values
* symmetry: Pm-3m



Which of them is the most stable? Correct choice: entry A.



Entry A
VASP calculation (PBE-GGA) on an optimized crystal structure of CsHg5Te4.

The structure in POSCAR format:
```
CsHg5Te4
1.0
5.908 0.000 0.000
0.000 10.026 0.000
0.000 0.000 13.317
Te Hg Cs
8 10 2
Direct
0.973 0.500 0.798 Te
0.469 0.252 0.500 Te
0.531 0.752 0.000 Te
0.027 0.000 0.702 Te
0.469 0.748 0.500 Te
0.973 0.500 0.202 Te
0.027 0.000 0.298 Te
0.531 0.248 0.000 Te
0.334 0.686 0.807 Hg
0.233 0.000 0.500 Hg
0.334 0.686 0.193 Hg
0.666 0.814 0.307 Hg
0.767 0.500 0.000 Hg
0.334 0.314 0.807 Hg
0.334 0.314 0.193 Hg
0.666 0.186 0.307 Hg
0.666 0.186 0.693 Hg
0.666 0.814 0.693 Hg
0.975 0.500 0.500 Cs
0.025 0.000 0.000 Cs
```

Calculated values
* symmetry: Pmmn



Entry B
VASP calculation (PBE-GGA) on an optimized crystal structure of CsHg5Te4.

The structure in POSCAR format:
```
CsHg5Te4
1.0
4.744 0.208 -0.353
-1.643 7.859 -3.779
-0.652 -0.355 10.726
Hg Te Cs
5 4 1
Direct
0.216 0.472 0.916 Hg
0.862 0.701 0.630 Hg
0.138 0.299 0.370 Hg
0.500 0.000 0.500 Hg
0.784 0.528 0.084 Hg
0.083 0.942 0.278 Te
0.329 0.543 0.679 Te
0.917 0.058 0.722 Te
0.671 0.457 0.321 Te
0.500 0.000 0.000 Cs
```

Calculated values
* symmetry: P-1



Which of them is the most stable? Correct choice: entry B.



Entry A
VASP calculation (PBE-GGA) on an optimized crystal structure of CsHg3Te3.

The structure in POSCAR format:
```
CsHg3Te3
1.0
-0.811 1.206 8.532
-6.531 -3.717 4.294
2.727 -8.163 5.803
Hg Te Cs
6 6 2
Direct
0.546 0.217 0.357 Hg
0.880 0.546 0.357 Hg
0.120 0.454 0.643 Hg
0.454 0.783 0.643 Hg
0.217 0.880 0.357 Hg
0.783 0.120 0.643 Hg
0.767 0.431 0.705 Te
0.233 0.569 0.295 Te
0.098 0.767 0.705 Te
0.431 0.098 0.705 Te
0.902 0.233 0.295 Te
0.569 0.902 0.295 Te
0.333 0.333 0.000 Cs
0.667 0.667 0.000 Cs
```

Calculated values
* symmetry: R-3



Entry B
VASP calculation (PBE-GGA) on an optimized crystal structure of CsHg3Te3.

The structure in POSCAR format:
```
CsHg3Te3
1.0
8.362 0.000 0.000
0.000 8.362 0.000
0.000 0.000 8.362
Te Hg Cs
6 6 2
Direct
0.000 0.500 0.250 Te
0.000 0.500 0.750 Te
0.500 0.250 0.000 Te
0.500 0.750 0.000 Te
0.250 0.000 0.500 Te
0.750 0.000 0.500 Te
0.000 0.750 0.500 Hg
0.500 0.000 0.750 Hg
0.250 0.500 0.000 Hg
0.500 0.000 0.250 Hg
0.000 0.250 0.500 Hg
0.750 0.500 0.000 Hg
0.000 0.000 0.000 Cs
0.500 0.500 0.500 Cs
```

Calculated values
* symmetry: Pm-3n



Which of them is the most stable? Correct choice: entry A.



Entry A
VASP calculation (PBE-GGA) on an optimized crystal structure of CsHg4Te.

The structure in POSCAR format:
```
CsHg4Te
1.0
5.617 0.000 -1.551
-0.428 5.601 -1.551
0.815 0.879 13.896
Hg Te Cs
8 2 2
Direct
0.730 0.232 0.460 Hg
0.771 0.772 0.540 Hg
0.229 0.228 0.460 Hg
0.732 0.729 0.960 Hg
0.268 0.271 0.040 Hg
0.272 0.770 0.040 Hg
0.728 0.230 0.960 Hg
0.270 0.768 0.540 Hg
0.375 0.125 0.250 Te
0.625 0.875 0.750 Te
0.875 0.625 0.250 Cs
0.125 0.375 0.750 Cs
```

Calculated values
* symmetry: I4_1/a



Entry B
VASP calculation (PBE-GGA) on an optimized crystal structure of CsHg4Te.

The structure in POSCAR format:
```
CsHg4Te
1.0
6.604 0.000 0.000
3.302 5.720 0.000
3.302 1.907 5.393
Hg Te Cs
4 1 1
Direct
0.129 0.624 0.624 Hg
0.624 0.129 0.624 Hg
0.624 0.624 0.129 Hg
0.624 0.624 0.624 Hg
0.250 0.250 0.250 Te
0.000 0.000 0.000 Cs
```

Calculated values
* symmetry: F-43m



Which of them is the most stable? Correct choice: entry A.



Entry A
VASP calculation (PBE-GGA) on an optimized crystal structure of Cs3HgTe.

The structure in POSCAR format:
```
Cs3HgTe
1.0
-2.268 4.099 -2.296
-1.533 -7.709 -6.320
-9.756 -1.982 6.089
Cs Te Hg
6 2 2
Direct
0.974 0.979 0.065 Cs
0.422 0.878 0.604 Cs
0.070 0.175 0.356 Cs
0.783 0.599 0.366 Cs
0.261 0.555 0.056 Cs
0.622 0.276 0.817 Cs
0.631 0.296 0.132 Te
0.412 0.859 0.290 Te
0.235 0.503 0.662 Hg
0.809 0.651 0.759 Hg
```

Calculated values
* symmetry: P-1



Entry B
VASP calculation (PBE-GGA) on an optimized crystal structure of Cs3HgTe.

The structure in POSCAR format:
```
Cs3HgTe
1.0
7.412 0.000 0.000
0.000 7.412 0.000
0.000 0.000 7.412
Cs Te Hg
3 1 1
Direct
0.500 0.000 0.000 Cs
0.000 0.500 0.000 Cs
0.000 0.000 0.500 Cs
0.000 0.000 0.000 Te
0.500 0.500 0.500 Hg
```

Calculated values
* symmetry: Pm-3m



Which of them is the most stable? Correct choice: entry A.



Entry A
VASP calculation (PBE-GGA) on an optimized crystal structure of Cs3HgTe3.

The structure in POSCAR format:
```
Cs3HgTe3
1.0
7.609 0.000 -1.636
-3.293 6.234 -2.974
-1.023 0.000 7.583
Te Hg Cs
3 1 3
Direct
0.480 0.000 0.388 Te
0.480 0.388 0.000 Te
0.092 0.612 0.612 Te
0.373 0.000 0.000 Hg
0.994 0.000 0.430 Cs
0.563 0.570 0.570 Cs
0.994 0.430 0.000 Cs
```

Calculated values
* symmetry: R3m



Entry B
VASP calculation (PBE-GGA) on an optimized crystal structure of Cs3HgTe3.

The structure in POSCAR format:
```
Cs3HgTe3
1.0
-0.582 4.697 6.214
-10.989 -0.846 -0.390
5.874 -7.173 5.972
Te Cs Hg
6 6 2
Direct
0.750 0.310 0.404 Te
0.750 0.596 0.906 Te
0.250 0.404 0.094 Te
0.750 0.094 0.690 Te
0.250 0.690 0.596 Te
0.250 0.906 0.310 Te
0.250 0.288 0.367 Cs
0.750 0.921 0.288 Cs
0.750 0.367 0.079 Cs
0.250 0.633 0.921 Cs
0.750 0.712 0.633 Cs
0.250 0.079 0.712 Cs
0.750 0.333 0.667 Hg
0.250 0.667 0.333 Hg
```

Calculated values
* symmetry: P6_3/m



Which of them is the most stable? Correct choice: entry B.



Entry A
VASP calculation (PBE-GGA) on an optimized crystal structure of CsTiHg3.

The structure in POSCAR format:
```
CsTiHg3
1.0
-0.742 -2.260 5.090
0.765 -5.128 -2.166
5.517 0.407 0.985
Cs Hg Ti
1 3 1
Direct
0.500 0.500 0.500 Cs
0.000 0.000 0.500 Hg
0.500 0.000 0.000 Hg
0.000 0.500 0.000 Hg
0.000 0.000 0.000 Ti
```

Calculated values
* symmetry: Pm-3m



Entry B
VASP calculation (PBE-GGA) on an optimized crystal structure of CsTiHg3.

The structure in POSCAR format:
```
CsTiHg3
1.0
-1.406 -3.714 -5.431
-0.276 -5.516 3.843
-6.574 1.026 1.000
Hg Ti Cs
3 1 1
Direct
0.000 0.000 0.500 Hg
0.000 0.500 0.000 Hg
0.500 0.000 0.000 Hg
0.500 0.500 0.500 Ti
0.000 0.000 0.000 Cs
```

Calculated values
* symmetry: Pm-3m



Which of them is the most stable? Correct choice: entry A.



Entry A
VASP calculation (PBE-GGA) on an optimized crystal structure of Cs2TlHg.

The structure in POSCAR format:
```
Cs2TlHg
1.0
5.071 0.008 0.005
2.537 6.886 0.202
2.539 2.615 6.373
Cs Hg Tl
2 1 1
Direct
0.062 0.858 0.020 Cs
0.438 0.480 0.642 Cs
0.750 0.973 0.527 Hg
0.250 0.189 0.311 Tl
```

Calculated values
* symmetry: C2



Entry B
VASP calculation (PBE-GGA) on an optimized crystal structure of Cs2TlHg.

The structure in POSCAR format:
```
Cs2TlHg
1.0
4.439 0.000 0.000
2.219 3.844 0.000
2.219 1.281 13.101
Tl Cs Hg
1 2 1
Direct
0.000 0.000 0.000 Tl
0.904 0.904 0.289 Cs
0.096 0.096 0.711 Cs
0.500 0.500 0.500 Hg
```

Calculated values
* symmetry: R-3m



Entry C
VASP calculation (PBE-GGA) on an optimized crystal structure of Cs2TlHg.

The structure in POSCAR format:
```
Cs2TlHg
1.0
-1.610 4.194 -0.396
-1.725 -0.270 4.158
8.282 3.526 3.664
Tl Cs Hg
1 2 1
Direct
0.500 0.500 0.000 Tl
0.000 0.000 0.748 Cs
0.000 0.000 0.252 Cs
0.500 0.500 0.500 Hg
```

Calculated values
* symmetry: P4/mmm



Entry D
VASP calculation (PBE-GGA) on an optimized crystal structure of Cs2TlHg.

The structure in POSCAR format:
```
Cs2TlHg
1.0
6.553 -2.549 4.502
-1.974 8.028 -1.169
-6.498 -2.895 4.371
Cs Hg Tl
4 2 2
Direct
0.625 0.144 0.019 Cs
0.394 0.375 0.519 Cs
0.856 0.875 0.481 Cs
0.125 0.606 0.981 Cs
0.500 0.500 0.000 Hg
0.750 0.250 0.500 Hg
0.000 0.000 0.000 Tl
0.250 0.750 0.500 Tl
```

Calculated values
* symmetry: I-42d



Which of them is the most stable? Correct choice: entry A.



Entry A
VASP calculation (PBE-GGA) on an optimized crystal structure of CsTl2Hg6.

The structure in POSCAR format:
```
CsTl2Hg6
1.0
-2.023 -2.920 -1.131
4.613 -7.148 3.720
-4.393 -2.486 7.793
Hg Cs Tl
6 1 2
Direct
0.687 0.643 0.981 Hg
0.500 0.685 0.315 Hg
0.313 0.357 0.019 Hg
0.687 0.981 0.643 Hg
0.313 0.019 0.357 Hg
0.500 0.315 0.685 Hg
0.000 0.000 0.000 Cs
0.128 0.368 0.368 Tl
0.872 0.632 0.632 Tl
```

Calculated values
* symmetry: C2/m



Entry B
VASP calculation (PBE-GGA) on an optimized crystal structure of CsTl2Hg6.

The structure in POSCAR format:
```
CsTl2Hg6
1.0
3.502 0.000 0.000
0.000 8.353 -4.822
0.000 0.000 9.645
Cs Hg Tl
1 6 2
Direct
0.000 0.000 0.000 Cs
0.500 0.343 0.000 Hg
0.500 0.000 0.343 Hg
0.500 0.000 0.657 Hg
0.500 0.657 0.000 Hg
0.500 0.343 0.343 Hg
0.500 0.657 0.657 Hg
0.000 0.667 0.333 Tl
0.000 0.333 0.667 Tl
```

Calculated values
* symmetry: P6/mmm



Which of them is the most stable? Correct choice: entry A.



Entry A
VASP calculation (PBE-GGA) on an optimized crystal structure of CsTlHg4.

The structure in POSCAR format:
```
CsTlHg4
1.0
-3.631 4.948 -2.181
-0.998 0.736 -6.394
-5.890 -1.151 -2.531
Hg Tl Cs
4 1 1
Direct
0.624 0.624 0.624 Hg
0.624 0.624 0.128 Hg
0.128 0.624 0.624 Hg
0.624 0.128 0.624 Hg
0.250 0.250 0.250 Tl
0.000 0.000 0.000 Cs
```

Calculated values
* symmetry: F-43m



Entry B
VASP calculation (PBE-GGA) on an optimized crystal structure of CsTlHg4.

The structure in POSCAR format:
```
CsTlHg4
1.0
-0.131 -3.016 4.494
4.747 1.648 -2.016
-0.434 6.898 4.616
Tl Cs Hg
1 1 4
Direct
0.000 0.000 0.000 Tl
0.000 0.000 0.500 Cs
0.333 0.667 0.803 Hg
0.667 0.333 0.197 Hg
0.667 0.333 0.803 Hg
0.333 0.667 0.197 Hg
```

Calculated values
* symmetry: P6/mmm



Which of them is the most stable? Correct choice: entry B.



Entry A
VASP calculation (PBE-GGA) on an optimized crystal structure of CsTlHg6.

The structure in POSCAR format:
```
CsTlHg6
1.0
-1.526 5.896 2.159
2.112 -1.610 5.891
5.913 2.097 -1.547
Tl Hg Cs
1 6 1
Direct
0.000 0.000 0.000 Tl
0.000 0.500 0.762 Hg
0.762 0.000 0.500 Hg
0.000 0.500 0.238 Hg
0.500 0.238 0.000 Hg
0.238 0.000 0.500 Hg
0.500 0.762 0.000 Hg
0.500 0.500 0.500 Cs
```

Calculated values
* symmetry: Pm-3



Entry B
VASP calculation (PBE-GGA) on an optimized crystal structure of CsTlHg6.

The structure in POSCAR format:
```
CsTlHg6
1.0
-1.549 -3.892 -3.397
4.631 1.757 -4.124
4.815 -4.836 3.346
Cs Hg Tl
1 6 1
Direct
0.000 0.646 0.000 Cs
0.000 0.686 0.500 Hg
0.500 0.873 0.293 Hg
0.500 0.219 0.000 Hg
0.500 0.873 0.707 Hg
0.000 0.161 0.716 Hg
0.000 0.161 0.284 Hg
0.500 0.379 0.500 Tl
```

Calculated values
* symmetry: Pmm2



Which of them is the most stable? Correct choice: entry B.